#A
Here is crystalline KNi2Mo at its relaxed geometry from Alexandria. Energies are from PBEsol.

Calculated volume   15.1 A^3/atom
SG   No. 65
Magnetic moment   0.0002 μB per atom
N(E_F)   3.60 states/eV per cell

Lattice parameters (Å, degrees): 4.850 4.850 2.576 90.00 90.00 90.09
Positions (direct):
1 K 0.000 0.000 0.000
2 Ni 0.000 0.500 0.500
3 Ni 0.500 0.000 0.500
4 Mo 0.500 0.500 0.000

=====

#B
Here is crystalline KNi2Mo at its relaxed geometry from Alexandria. Energies are from PBEsol.

Calculated volume   18.3 A^3/atom
SG   No. 6
Magnetic moment   0.0003 μB per atom
N(E_F)   5.82 states/eV per cell

Lattice parameters (Å, degrees): 2.602 4.071 6.898 90.00 91.18 90.00
Positions (direct):
1 K 0.000 0.000 0.000
2 Ni 0.494 0.000 0.509
3 Ni 0.494 0.500 0.696
4 Mo 0.983 0.500 0.397

=====

Which one sits at the top of the stability order? #B does.

=====

#A
Here is crystalline K2Mo2P2O11 at its relaxed geometry from Alexandria. Energies are from PBEsol.

Calculated volume   13.4 A^3/atom
SG   No. 60
Magnetic moment   0.0000 μB per atom
N(E_F)   0.00 states/eV per cell

Lattice parameters (Å, degrees): 9.315 8.911 10.936 90.00 90.00 90.00
Positions (direct):
1 K 0.203 0.011 0.085
2 K 0.203 0.989 0.585
3 K 0.297 0.489 0.585
4 K 0.297 0.511 0.085
5 K 0.703 0.489 0.915
6 K 0.703 0.511 0.415
7 K 0.797 0.011 0.415
8 K 0.797 0.989 0.915
9 Mo 0.077 0.270 0.346
10 Mo 0.077 0.730 0.846
11 Mo 0.423 0.230 0.846
12 Mo 0.423 0.770 0.346
13 Mo 0.577 0.230 0.654
14 Mo 0.577 0.770 0.154
15 Mo 0.923 0.270 0.154
16 Mo 0.923 0.730 0.654
17 P 0.071 0.325 0.873
18 P 0.071 0.675 0.373
19 P 0.429 0.175 0.373
20 P 0.429 0.825 0.873
21 P 0.571 0.175 0.127
22 P 0.571 0.825 0.627
23 P 0.929 0.325 0.627
24 P 0.929 0.675 0.127
25 O 0.000 0.259 0.750
26 O 0.000 0.741 0.250
27 O 0.048 0.302 0.533
28 O 0.048 0.698 0.033
29 O 0.080 0.081 0.363
30 O 0.080 0.919 0.863
31 O 0.109 0.489 0.854
32 O 0.109 0.511 0.354
33 O 0.127 0.300 0.175
34 O 0.127 0.700 0.675
35 O 0.202 0.227 0.898
36 O 0.202 0.773 0.398
37 O 0.298 0.273 0.398
38 O 0.298 0.727 0.898
39 O 0.373 0.200 0.675
40 O 0.373 0.800 0.175
41 O 0.391 0.011 0.354
42 O 0.391 0.989 0.854
43 O 0.420 0.419 0.863
44 O 0.420 0.581 0.363
45 O 0.452 0.198 0.033
46 O 0.452 0.802 0.533
47 O 0.500 0.241 0.250
48 O 0.500 0.759 0.750
49 O 0.548 0.198 0.467
50 O 0.548 0.802 0.967
51 O 0.580 0.419 0.637
52 O 0.580 0.581 0.137
53 O 0.609 0.011 0.146
54 O 0.609 0.989 0.646
55 O 0.627 0.200 0.825
56 O 0.627 0.800 0.325
57 O 0.702 0.273 0.102
58 O 0.702 0.727 0.602
59 O 0.798 0.227 0.602
60 O 0.798 0.773 0.102
61 O 0.873 0.300 0.325
62 O 0.873 0.700 0.825
63 O 0.891 0.489 0.646
64 O 0.891 0.511 0.146
65 O 0.920 0.081 0.137
66 O 0.920 0.919 0.637
67 O 0.952 0.302 0.967
68 O 0.952 0.698 0.467

=====

#B
Here is crystalline K2Mo2P2O11 at its relaxed geometry from Alexandria. Energies are from PBEsol.

Calculated volume   14.2 A^3/atom
SG   No. 4
Magnetic moment   0.0000 μB per atom

Lattice parameters (Å, degrees): 9.834 10.038 9.914 90.00 98.10 90.00
Positions (direct):
1 K 0.001 0.000 0.249
2 K 0.227 0.821 0.936
3 K 0.229 0.685 0.467
4 K 0.494 0.575 0.243
5 K 0.506 0.075 0.757
6 K 0.771 0.185 0.533
7 K 0.773 0.321 0.064
8 K 0.999 0.500 0.751
9 Mo 0.070 0.182 0.901
10 Mo 0.074 0.322 0.400
11 Mo 0.346 0.087 0.389
12 Mo 0.348 0.411 0.891
13 Mo 0.652 0.911 0.109
14 Mo 0.654 0.587 0.611
15 Mo 0.926 0.822 0.600
16 Mo 0.930 0.682 0.099
17 P 0.127 0.078 0.609
18 P 0.133 0.425 0.111
19 P 0.391 0.115 0.066
20 P 0.395 0.378 0.567
21 P 0.605 0.878 0.433
22 P 0.609 0.615 0.934
23 P 0.867 0.925 0.889
24 P 0.873 0.578 0.391
25 O 0.032 0.977 0.523
26 O 0.039 0.527 0.023
27 O 0.063 0.218 0.578
28 O 0.067 0.286 0.080
29 O 0.078 0.756 0.677
30 O 0.081 0.748 0.175
31 O 0.128 0.050 0.763
32 O 0.134 0.454 0.265
33 O 0.191 0.309 0.854
34 O 0.193 0.193 0.352
35 O 0.236 0.089 0.027
36 O 0.241 0.406 0.528
37 O 0.276 0.062 0.581
38 O 0.280 0.937 0.337
39 O 0.283 0.440 0.082
40 O 0.285 0.560 0.833
41 O 0.429 0.138 0.222
42 O 0.432 0.354 0.724
43 O 0.441 0.234 0.987
44 O 0.445 0.255 0.494
45 O 0.465 0.988 0.022
46 O 0.469 0.505 0.524
47 O 0.531 0.005 0.476
48 O 0.535 0.488 0.978
49 O 0.555 0.755 0.506
50 O 0.559 0.734 0.013
51 O 0.568 0.854 0.276
52 O 0.571 0.638 0.778
53 O 0.715 0.060 0.167
54 O 0.717 0.940 0.918
55 O 0.720 0.437 0.663
56 O 0.724 0.562 0.419
57 O 0.759 0.906 0.472
58 O 0.764 0.589 0.973
59 O 0.807 0.693 0.648
60 O 0.809 0.809 0.146
61 O 0.866 0.954 0.735
62 O 0.872 0.550 0.237
63 O 0.919 0.248 0.825
64 O 0.922 0.256 0.323
65 O 0.933 0.786 0.920
66 O 0.937 0.718 0.422
67 O 0.961 0.027 0.977
68 O 0.968 0.477 0.477

=====

Which one sits at the top of the stability order? #A does.

=====

#A
Here is crystalline KMoOs2 at its relaxed geometry from Alexandria. Energies are from PBEsol.

Calculated volume   16.8 A^3/atom
SG   No. 65
Magnetic moment   0.0000 μB per atom
N(E_F)   3.35 states/eV per cell

Lattice parameters (Å, degrees): 2.709 2.709 10.162 90.00 90.00 115.75
Positions (direct):
1 K 0.000 0.000 0.000
2 Mo 0.000 0.000 0.500
3 Os 0.500 0.500 0.284
4 Os 0.500 0.500 0.716

=====

#B
Here is crystalline KMoOs2 at its relaxed geometry from Alexandria. Energies are from PBEsol.

Calculated volume   20.8 A^3/atom
SG   No. 6
Magnetic moment   0.0001 μB per atom
N(E_F)   3.92 states/eV per cell

Lattice parameters (Å, degrees): 2.684 3.766 8.233 90.00 90.31 90.00
Positions (direct):
1 K 0.000 0.000 0.000
2 Mo 0.488 0.500 0.363
3 Os 0.492 0.500 0.676
4 Os 0.990 0.000 0.539

=====

Which one sits at the top of the stability order? #A does.

=====

#A
Here is crystalline KMoPb at its relaxed geometry from Alexandria. Energies are from PBEsol.

Calculated volume   28.9 A^3/atom
SG   No. 216
Magnetic moment   1.0006 μB per atom
N(E_F)   0.85 states/eV per cell

Lattice parameters (Å, degrees): 4.969 4.969 4.969 60.00 60.00 60.00
Positions (direct):
1 K 0.000 0.000 0.000
2 Mo 0.250 0.250 0.250
3 Pb 0.500 0.500 0.500

=====

#B
Here is crystalline KMoPb at its relaxed geometry from Alexandria. Energies are from PBEsol.

Calculated volume   23.3 A^3/atom
SG   No. 156
Magnetic moment   0.0008 μB per atom
N(E_F)   3.24 states/eV per cell

Lattice parameters (Å, degrees): 5.265 5.265 2.914 90.00 90.00 120.00
Positions (direct):
1 K 0.000 0.000 0.000
2 Mo 0.333 0.667 0.494
3 Pb 0.667 0.333 0.500

=====

Which one sits at the top of the stability order? #B does.

=====

#A
Here is crystalline KMoPt2 at its relaxed geometry from Alexandria. Energies are from PBEsol.

Calculated volume   17.3 A^3/atom
SG   No. 123
Magnetic moment   0.0000 μB per atom
N(E_F)   3.21 states/eV per cell

Lattice parameters (Å, degrees): 5.060 5.060 2.705 90.00 90.00 90.00
Positions (direct):
1 K 0.000 0.000 0.000
2 Mo 0.500 0.500 0.000
3 Pt 0.000 0.500 0.500
4 Pt 0.500 0.000 0.500

=====

#B
Here is crystalline KMoPt2 at its relaxed geometry from Alexandria. Energies are from PBEsol.

Calculated volume   18.4 A^3/atom
SG   No. 99
Magnetic moment   0.0001 μB per atom
N(E_F)   3.17 states/eV per cell

Lattice parameters (Å, degrees): 2.746 2.746 9.743 90.00 90.00 90.00
Positions (direct):
1 K 0.000 0.000 0.000
2 Mo 0.500 0.500 0.337
3 Pt 0.000 0.000 0.529
4 Pt 0.500 0.500 0.741

=====

Which one sits at the top of the stability order? #B does.

=====

#A
Here is crystalline K2MoPt at its relaxed geometry from Alexandria. Energies are from PBEsol.

Calculated volume   20.4 A^3/atom
SG   No. 65
Magnetic moment   0.0001 μB per atom
N(E_F)   2.93 states/eV per cell

Lattice parameters (Å, degrees): 2.783 2.783 11.453 90.00 90.00 113.43
Positions (direct):
1 K 0.000 0.000 0.231
2 K 0.000 0.000 0.769
3 Mo 0.500 0.500 0.500
4 Pt 0.500 0.500 0.000

=====

#B
Here is crystalline K2MoPt at its relaxed geometry from Alexandria. Energies are from PBEsol.

Calculated volume   31.2 A^3/atom
SG   No. 71
Magnetic moment   0.2545 μB per atom
N(E_F)   3.54 states/eV per cell

Lattice parameters (Å, degrees): 10.302 10.302 10.302 164.23 155.17 29.55
Positions (direct):
1 K 0.144 0.144 0.000
2 K 0.856 0.856 0.000
3 Mo 0.500 0.000 0.500
4 Pt 0.000 0.500 0.500

=====

Which one sits at the top of the stability order? #B does.